# 1
Computed, not measured: a geometry-optimized Tc2AsRu structure at the PBEsol level of DFT.

a b c (Å): 2.795 2.795 8.438
angles (deg): 80.47 80.47 60.00
Element x y z (fractional)
Ru 0.247 0.247 0.258
As 0.501 0.501 0.497
Tc 0.000 0.000 0.999
Tc 0.751 0.751 0.746

Summary:
- total energy (eV/atom) = -9.388
- total magnetic moment (Bohr magnetons per cell) = 0.0

***

# 2
Computed, not measured: a geometry-optimized TcAsRu2 structure at the PBEsol level of DFT.

a b c (Å): 2.840 4.436 4.436
angles (deg): 90.00 90.00 90.00
Last column: magnetic moment on the atom in μB.
Element x y z (fractional)
Ru 0.000 0.000 0.500  0.21
Ru 0.000 0.500 0.000  0.21
As 0.500 0.000 0.000  0.00
Tc 0.500 0.500 0.500  0.17

Summary:
- total energy (eV/atom) = -8.891
- total magnetic moment (Bohr magnetons per cell) = 0.6

***

# 3
Computed, not measured: a geometry-optimized TcAsRu2 structure at the PBEsol level of DFT.

a b c (Å): 2.814 3.798 5.240
angles (deg): 90.00 90.00 90.00
Element x y z (fractional)
Ru 0.000 0.000 0.967
Ru 0.500 0.500 0.283
As 0.500 0.500 0.776
Tc 0.000 0.000 0.474

Summary:
- total energy (eV/atom) = -9.008
- total magnetic moment (Bohr magnetons per cell) = 0.0

***

# 4
Computed, not measured: a geometry-optimized TeAs2Ru structure at the PBEsol level of DFT.

a b c (Å): 3.090 4.352 6.426
angles (deg): 109.79 103.91 90.00
Element x y z (fractional)
Ru 0.499 0.499 0.999
As 0.981 0.981 0.961
As 0.829 0.329 0.658
Te 0.191 0.691 0.382

Summary:
- formation energy (no corrections) (eV per atom) = 0.1572
- total magnetic moment (Bohr magnetons per cell) = 0.0

***

# 5
Computed, not measured: a geometry-optimized TeAs2Ru structure at the PBEsol level of DFT.

a b c (Å): 3.285 3.285 7.045
angles (deg): 90.00 90.00 90.00
Element x y z (fractional)
Ru 0.000 0.000 0.469
As 0.000 0.000 0.078
As 0.500 0.500 0.265
Te 0.500 0.500 0.688

Summary:
- formation energy (no corrections) (eV per atom) = 0.1775
- total magnetic moment (Bohr magnetons per cell) = 0.0

***

# 6
Computed, not measured: a geometry-optimized TeAs4Ru structure at the PBEsol level of DFT.

a b c (Å): 5.447 5.447 5.447
angles (deg): 60.00 60.00 60.00
Element x y z (fractional)
Ru 0.750 0.750 0.750
As 0.876 0.375 0.375
As 0.375 0.375 0.375
As 0.375 0.375 0.876
As 0.375 0.876 0.375
Te 0.000 0.000 0.000

Summary:
- formation energy (no corrections) (eV per atom) = 0.8489
- total magnetic moment (Bohr magnetons per cell) = 0.0

***

# 7
Computed, not measured: a geometry-optimized TeAsRu structure at the PBEsol level of DFT.

a b c (Å): 3.575 3.575 5.395
angles (deg): 90.00 90.00 120.00
Element x y z (fractional)
Ru 0.333 0.667 0.689
As 0.000 0.000 0.932
Te 0.667 0.333 0.379

Summary:
- formation energy (no corrections) (eV per atom) = 0.0171
- total magnetic moment (Bohr magnetons per cell) = 0.0

***

# 8
Computed, not measured: a geometry-optimized TeAsRu structure at the PBEsol level of DFT.

a b c (Å): 4.357 4.357 4.357
angles (deg): 60.00 60.00 60.00
Element x y z (fractional)
Ru 0.250 0.250 0.250
As 0.500 0.500 0.500
Te 0.000 0.000 0.000

Summary:
- formation energy (no corrections) (eV per atom) = -0.0980
- total magnetic moment (Bohr magnetons per cell) = 0.0